ScCdGaRu: relaxed, PBE-GGA.

It has space group F-43m (No. 216), with a = 6.501 Å, b = 6.501 Å, c = 6.501 Å, α = 90.00°, β = 90.00° and γ = 90.00°. The distinct sites, in fractional coordinates, are Sc at (0.000, 0.000, 0.000), Cd at (0.250, 0.250, 0.250), Ga at (0.250, 0.250, 0.750) and Ru at (0.000, 0.000, 0.500).

For the total magnetization, the calculation gives 0.001 μB per cell. As for the energy relative to the elements: -228.2 meV per atom. The calculated volume is 274.8 Å³/cell.

---

Sr2CdGaRu: relaxed, PBE-GGA.

It has space group P4/mmm (No. 123), with a = 5.859 Å, b = 5.859 Å, c = 4.591 Å, α = 90.00°, β = 90.00° and γ = 90.00°. The distinct sites, in fractional coordinates, are Sr at (0.000, 0.500, 0.000), Cd at (0.000, 0.000, 0.500), Ga at (0.500, 0.500, 0.000) and Ru at (0.500, 0.500, 0.500).

For the total magnetization, the calculation gives 0.056 μB per cell. As for the energy relative to the elements: 242.4 meV per atom. The calculated volume is 157.6 Å³/cell. As for the polymorph energy (0 for the lowest one): 0.000 eV/f.u.

---

SrCd2GaRu: relaxed, PBE-GGA.

It has space group P4/mmm (No. 123), with a = 5.231 Å, b = 5.231 Å, c = 4.793 Å, α = 90.00°, β = 90.00° and γ = 90.00°. The distinct sites, in fractional coordinates, are Sr at (0.000, 0.000, 0.000), Cd at (0.000, 0.500, 0.500), Ga at (0.500, 0.500, 0.000) and Ru at (0.500, 0.500, 0.500).

For the total magnetization, the calculation gives 0.000 μB per cell. As for the energy relative to the elements: -138.4 meV per atom. The calculated volume is 131.1 Å³/cell.

---

Sr2CdGaRu: relaxed, PBE-GGA.

It has space group P4/mmm (No. 123), with a = 5.468 Å, b = 5.468 Å, c = 5.242 Å, α = 90.00°, β = 90.00° and γ = 90.00°. The distinct sites, in fractional coordinates, are Sr at (0.000, 0.500, 0.000), Cd at (0.000, 0.000, 0.500), Ga at (0.500, 0.500, 0.500) and Ru at (0.000, 0.000, 0.000).

For the total magnetization, the calculation gives 0.000 μB per cell. As for the energy relative to the elements: 315.2 meV per atom. The calculated volume is 156.7 Å³/cell. As for the polymorph energy (0 for the lowest one): 0.364 eV/f.u.

---

SrCdGa2Ru: relaxed, PBE-GGA.

It has space group P4/mmm (No. 123), with a = 4.818 Å, b = 4.818 Å, c = 5.236 Å, α = 90.00°, β = 90.00° and γ = 90.00°. The distinct sites, in fractional coordinates, are Sr at (0.000, 0.000, 0.000), Cd at (0.500, 0.500, 0.000), Ga at (0.000, 0.500, 0.500) and Ru at (0.500, 0.500, 0.500).

For the total magnetization, the calculation gives 0.000 μB per cell. As for the energy relative to the elements: -294.6 meV per atom. The calculated volume is 121.6 Å³/cell.

---

Tb4CdGaRu2: relaxed, PBE-GGA.

It has space group R-3m (No. 166, hexagonal axes), with a = 5.0011 Å, b = 5.0011 Å, c = 24.5534 Å, α = 90.00°, β = 90.00° and γ = 120.00°. The distinct sites, in fractional coordinates, are Tb at (0.0000, 0.0000, 0.1229), Tb at (0.0000, 0.0000, 0.3734), Cd at (0.0000, 0.0000, 0.5000), Ga at (0.0000, 0.0000, 0.0000) and Ru at (0.0000, 0.0000, 0.2498).

For the total magnetization, the calculation gives 0.000 μB per cell. As for the energy relative to the elements: -354.4 meV per atom. The calculated volume is 531.8 Å³/cell.

---

The highest energy relative to the elements belongs to which entry? number 4